[1]
VASP calculation (PBE-GGA) on a geometry-optimized La2Tb5DySc structure.

Unit cell a=5.5960 b=20.1039 c=10.4595 alpha=90.00 beta=90.00 gamma=90.00
Last column: nearest neighbours and their distance in Å.
Space group Cmc2_1 (No. 36)
Unique sites:
La1 0.0000 0.1146 0.0000  8 Tb 3.23-3.54, 1 Sc 3.55
La2 0.0000 0.1156 0.4221  1 Sc 3.34, 7 Tb 3.48-3.67, 2 Dy 3.70
Tb1 0.0000 0.0150 0.7030  2 Dy 3.26, 3 La 3.36-3.57
Tb2 0.0000 0.2751 0.0062  1 Dy 3.05, 1 La 3.23, 2 Tb 3.38
Tb3 0.0000 0.2958 0.3878  1 Dy 3.34, 3 Tb 3.38-3.67, 2 Sc 3.42, 3 La 3.53-3.64
Tb4 0.0000 0.3733 0.7053  4 La 3.54-3.61, 1 Sc 3.55, 4 Tb 3.65-3.72
Tb5 0.0000 0.4845 0.4291  2 Dy 3.18-3.31, 2 La 3.51
Dy1 0.0000 0.4068 0.1501  6 Tb 3.05-3.34
Sc1 0.0000 0.1970 0.7001  2 La 3.34-3.55, 7 Tb 3.42-3.66, 2 Dy 3.53

- Calculated density: 7.22 g/cm³
- Calculated total energy: -4.73 eV per atom

***

[2]
VASP calculation (PBE-GGA) on a geometry-optimized LaTb6Dy2Sc3 structure.

Unit cell a=6.0824 b=10.5347 c=11.5325 alpha=90.00 beta=100.12 gamma=90.00
Last column: nearest neighbours and their distance in Å.
Space group C2/m (No. 12)
Unique sites:
La1 0.0000 0.0000 0.0000  6 Dy 3.51, 6 Tb 3.60
Tb1 0.2455 0.3329 0.7387  3 Sc 3.38-3.39, 6 Tb 3.51-3.52, 2 Dy 3.59, 1 La 3.60
Tb2 0.2469 0.0000 0.7383  3 Sc 3.38, 6 Tb 3.51-3.52, 2 Dy 3.60, 1 La 3.60
Dy1 0.0000 0.3335 0.0000  3 Dy 3.51, 3 La 3.51, 6 Tb 3.59-3.60
Sc1 0.0000 0.1671 0.5000  6 Tb 3.38-3.39, 6 Sc 3.51-3.52
Sc2 0.0000 0.5000 0.5000  6 Tb 3.38-3.39, 6 Sc 3.51

- Calculated density: 7.09 g/cm³
- Calculated total energy: -5.03 eV per atom